Below is a relaxed In2TePt crystal, with properties calculated at the PBEsol level.

Values from the calculation:
ΔE_f (raw) = 0.073 eV/atom
uncorrected energy = -4.04 eV per atom

Cell lengths 4.080, 4.080, 5.378 Å; angles 90.00, 90.00, 90.00 degrees
Space group P4/mmm (No. 123)
Asymmetric unit:
In1 0.000 0.500 0.000
Te1 0.000 0.000 0.500
Pt1 0.500 0.500 0.500